PuU2PaN4: relaxed, GGA-PBE.

CIF file:
```
data_PuU2PaN4
_chemical_formula_sum 'Pu1 U2 Pa1 N4'
_cell_length_a 5.986
_cell_length_b 3.459
_cell_length_c 6.032
_cell_angle_alpha 90.00
_cell_angle_beta 109.51
_cell_angle_gamma 90.00
_space_group_name_H-M_alt 'P 1 2/m 1'
_space_group_IT_number 10
_space_group_name_Hall '-P 2y'
loop_
_atom_site_label
_atom_site_type_symbol
_atom_site_fract_x
_atom_site_fract_y
_atom_site_fract_z
Pu1 Pu 0.000 0.000 0.000
U1 U 0.000 0.500 0.500
U2 U 0.500 0.000 0.500
Pa1 Pa 0.500 0.500 0.000
N1 N 0.252 0.000 0.742
N2 N 0.259 0.500 0.263
```

Properties
Energy relative to the elements, uncorrected (eV per atom): -1.39
Mass density (g/cm³): 14.21
Magnetic moment (μB/f.u.): 2.69